Entry from the Alexandria database: a relaxed structure of Pr3SmH8 (PBE-GGA).

Values from the calculation:
* energy: -4.471 eV/atom
* M_tot: 0.0 μB/f.u.
* theoretical density: 5.825 g/cm3

Unit cell a=5.492 b=5.492 c=5.492 alpha=90.00 beta=90.00 gamma=90.00
Space group Pm-3m (No. 221)
Unique sites:
1 Pr 0.000 0.000 0.500 x3
2 Sm 0.500 0.500 0.500 x1
3 H 0.254 0.254 0.254 x8

***

Entry from the Alexandria database: a relaxed structure of Pr4SmH8 (PBE-GGA).

Values from the calculation:
* energy: -4.106 eV/atom
* M_tot: 1.1 μB/f.u.
* theoretical density: 5.682 g/cm3

Unit cell a=5.954 b=5.954 c=5.954 alpha=90.00 beta=90.00 gamma=90.00
Space group Pm-3m (No. 221)
Unique sites:
1 Pr 0.000 0.000 0.000 x1
2 Pr 0.000 0.500 0.500 x3
3 Sm 0.500 0.500 0.500 x1
4 H 0.265 0.265 0.265 x8

***

Entry from the Alexandria database: a relaxed structure of Pr2Sm2H (PBE-GGA).

Values from the calculation:
* energy: -4.644 eV/atom
* M_tot: 0.0 μB/f.u.
* theoretical density: 7.028 g/cm3

Unit cell a=5.157 b=5.157 c=5.184 alpha=90.00 beta=90.00 gamma=90.00
Space group P4/mmm (No. 123)
Unique sites:
1 Pr 0.000 0.000 0.000 x1
2 Pr 0.500 0.500 0.000 x1
3 Sm 0.000 0.500 0.500 x2
4 H 0.000 0.000 0.500 x1

***

Entry from the Alexandria database: a relaxed structure of PrSm4H10 (PBE-GGA).

Values from the calculation:
* energy: -4.475 eV/atom
* M_tot: 0.0 μB/f.u.
* theoretical density: 6.341 g/cm3

Unit cell a=3.8182 b=3.8182 c=46.8197 alpha=90.00 beta=90.00 gamma=120.00
Space group R-3m (No. 166, hexagonal axes)
Unique sites:
1 Pr 0.0000 0.0000 0.0000 x3
2 Sm 0.0000 0.0000 0.1998 x6
3 Sm 0.0000 0.0000 0.4010 x6
4 H 0.0000 0.0000 0.0513 x6
5 H 0.0000 0.0000 0.1500 x6
6 H 0.0000 0.0000 0.2494 x6
7 H 0.0000 0.0000 0.3516 x6
8 H 0.0000 0.0000 0.4507 x6

***

Entry from the Alexandria database: a relaxed structure of Tb2PrSmH (PBE-GGA).

Values from the calculation:
* energy: -4.594 eV/atom
* M_tot: 0.0 μB/f.u.
* theoretical density: 7.723 g/cm3

Unit cell a=5.078 b=5.078 c=5.088 alpha=90.00 beta=90.00 gamma=90.00
Space group P4/mmm (No. 123)
Unique sites:
1 Tb 0.000 0.500 0.000 x2
2 Pr 0.000 0.000 0.500 x1
3 Sm 0.500 0.500 0.500 x1
4 H 0.500 0.500 0.000 x1

***

Entry from the Alexandria database: a relaxed structure of PrSmTlH (PBE-GGA).

Values from the calculation:
* energy: -4.240 eV/atom
* M_tot: 0.1 μB/f.u.
* theoretical density: 8.431 g/cm3

Unit cell a=3.893 b=3.974 c=12.647 alpha=90.00 beta=90.00 gamma=90.00
Space group Imm2 (No. 44)
Unique sites:
1 Pr 0.000 0.000 0.000 x2
2 Sm 0.000 0.000 0.303 x2
3 Tl 0.000 0.000 0.658 x2
4 H 0.000 0.500 0.900 x2

***

Entry from the Alexandria database: a relaxed structure of Pr2SmYH (PBE-GGA).

Values from the calculation:
* energy: -4.990 eV/atom
* M_tot: 0.0 μB/f.u.
* theoretical density: 6.354 g/cm3

Unit cell a=5.180 b=5.180 c=5.085 alpha=90.00 beta=90.00 gamma=90.00
Space group P4/mmm (No. 123)
Unique sites:
1 Pr 0.000 0.500 0.000 x2
2 Sm 0.000 0.000 0.500 x1
3 Y 0.500 0.500 0.500 x1
4 H 0.500 0.500 0.000 x1

***

Entry from the Alexandria database: a relaxed structure of Pr5Sn2H (PBE-GGA).

Values from the calculation:
* energy: -4.804 eV/atom
* M_tot: 0.0 μB/f.u.
* theoretical density: 6.585 g/cm3

Unit cell a=7.202 b=7.202 c=9.168 alpha=90.00 beta=90.00 gamma=90.00
Space group I4mm (No. 107)
Unique sites:
1 Pr 0.000 0.000 0.000 x2
2 Pr 0.249 0.249 0.246 x8
3 Sn 0.000 0.500 0.497 x4
4 H 0.000 0.000 0.260 x2